{"formula": "TbPm2Er5In", "functional": "PBE", "state": "relaxed", "lattice_angstrom": [[2.6679, -10.0887, 0.0000], [2.6679, 10.0887, 0.0000], [0.0000, 0.0000, 10.4594]], "species": ["Tb", "Tb", "Pm", "Pm", "Pm", "Pm", "Er", "Er", "Er", "Er", "Er", "Er", "Er", "Er", "Er", "Er", "In", "In"], "frac_coords": [[0.2087, 0.7913, 0.7500], [0.7913, 0.2087, 0.2500], [0.1164, 0.8836, 0.0397], [0.1164, 0.8836, 0.4603], [0.8836, 0.1164, 0.5397], [0.8836, 0.1164, 0.9603], [0.0108, 0.9892, 0.7500], [0.2890, 0.7110, 0.0519], [0.2890, 0.7110, 0.4481], [0.3845, 0.6155, 0.7500], [0.5000, 0.5000, 0.0000], [0.5000, 0.5000, 0.5000], [0.6155, 0.3845, 0.2500], [0.7110, 0.2890, 0.5519], [0.7110, 0.2890, 0.9481], [0.9892, 0.0108, 0.2500], [0.4045, 0.5955, 0.2500], [0.5955, 0.4045, 0.7500]], "dos_ef_per_ev_fu": 12.08, "formation_enthalpy_0k_mev_per_atom": -11, "magmom_total_mub_per_cell": 0.00}